La3GePb2: relaxed, GGA-PBE.

* final energy: -5.071 eV per atom
* formation energy: -0.601 eV/atom

abc: 13.3159 4.6087 12.6072
angles: 90.00 90.00 90.00
Last column: nearest neighbours and their distance in Å.
Fractional positions:
La  0.0558  0.2500  0.1172  5 Pb 3.27-3.63, 1 Ge 3.32
La  0.1133  0.7500  0.5470  3 Ge 3.20-3.32, 5 Pb 3.37-3.58
La  0.2394  0.2500  0.7883  2 Ge 3.12, 1 Pb 3.26
La  0.2606  0.7500  0.2883  2 Ge 3.12, 1 Pb 3.26
La  0.3867  0.2500  0.0470  3 Ge 3.20-3.32, 5 Pb 3.37-3.58
La  0.4442  0.7500  0.6172  5 Pb 3.27-3.63, 1 Ge 3.32
La  0.5558  0.2500  0.3828  5 Pb 3.27-3.63, 1 Ge 3.32
La  0.6133  0.7500  0.9530  3 Ge 3.20-3.32, 5 Pb 3.37-3.58
La  0.7394  0.2500  0.7117  2 Ge 3.12, 1 Pb 3.26
La  0.7606  0.7500  0.2117  2 Ge 3.12, 1 Pb 3.26
La  0.8867  0.2500  0.4530  3 Ge 3.20-3.32, 5 Pb 3.37-3.58
La  0.9442  0.7500  0.8828  5 Pb 3.27-3.63, 1 Ge 3.32
Ge  0.1237  0.2500  0.3708  3 Pb 2.96-3.05, 4 La 3.12-3.20
Ge  0.3763  0.7500  0.8708  3 Pb 2.96-3.05, 4 La 3.12-3.20
Ge  0.6237  0.2500  0.1292  3 Pb 2.96-3.05, 4 La 3.12-3.20
Ge  0.8763  0.7500  0.6292  3 Pb 2.96-3.05, 4 La 3.12-3.20
Pb  0.0070  0.2500  0.7072  2 Ge 3.05, 5 La 3.26-3.37
Pb  0.1922  0.7500  0.0029  1 Ge 2.96, 2 La 3.27
Pb  0.3078  0.2500  0.5029  1 Ge 2.96, 2 La 3.27
Pb  0.4930  0.7500  0.2072  2 Ge 3.05, 5 La 3.26-3.37
Pb  0.5070  0.2500  0.7928  2 Ge 3.05, 5 La 3.26-3.37
Pb  0.6922  0.7500  0.4971  1 Ge 2.96, 2 La 3.27
Pb  0.8078  0.2500  0.9971  1 Ge 2.96, 2 La 3.27
Pb  0.9930  0.7500  0.2928  2 Ge 3.05, 5 La 3.26-3.37